1.
Compound: CaCeTlGa
Source: the Alexandria database
Functional: PBE
Structure: relaxed

Values from the calculation:
DFT formation energy: -37.6 kJ/mol of atoms
Offset from the most stable computed form: 0.00 kcal/mol of atoms
DOS at the Fermi energy: 6.0 states/eV per cell
Space-group type: No. 99
Spin magnetization: 0.58 μB per cell

Cell: 3.521 3.521 8.504 Å, 90.00 90.00 90.00°
Each line ends with the local moment (μB).
Fractional coordinates of all 4 atoms:
Ca 0.500 0.500 0.802  0.00
Ce 0.500 0.500 0.346  0.52
Tl 0.000 0.000 0.069  0.00
Ga 0.000 0.000 0.567  -0.01

---

2.
Compound: LaPrSm2Tl4
Source: the Alexandria database
Functional: PBE
Structure: relaxed

Values from the calculation:
DFT formation energy: -37.7 kJ/mol of atoms
DOS at the Fermi energy: 7.2 states/eV per cell
Space-group type: No. 166
Spin magnetization: 0.00 μB per cell

Cell: 5.533 5.533 9.590 Å, 73.23 73.23 60.00°
Fractional coordinates of all 8 atoms:
La 0.000 0.000 0.000
Pr 0.500 0.500 0.500
Sm 0.750 0.750 0.750
Sm 0.250 0.250 0.250
Tl 0.375 0.375 0.874
Tl 0.874 0.874 0.377
Tl 0.126 0.126 0.623
Tl 0.625 0.625 0.126

---

3.
Compound: MnV3Rh6
Source: the Alexandria database
Functional: PBE
Structure: relaxed

Values from the calculation:
DFT formation energy: -31.6 kJ/mol of atoms
DOS at the Fermi energy: 21.2 states/eV per cell
Space-group type: No. 11
Spin magnetization: 2.60 μB per cell

Cell: 4.333 7.205 9.674 Å, 114.11 90.00 90.00°
Each line ends with the local moment (μB).
Fractional coordinates of all 20 atoms:
Mn 0.250 0.966 0.571  3.02
Mn 0.750 0.034 0.429  3.02
V 0.250 0.552 0.369  -0.69
V 0.750 0.448 0.631  -0.69
V 0.250 0.359 0.769  -0.83
V 0.750 0.641 0.231  -0.83
V 0.250 0.768 0.971  -0.32
V 0.750 0.232 0.029  -0.32
Rh 0.250 0.463 0.072  0.05
Rh 0.750 0.537 0.928  0.05
Rh 0.250 0.163 0.167  0.07
Rh 0.750 0.837 0.833  0.07
Rh 0.250 0.665 0.671  0.04
Rh 0.750 0.335 0.329  0.04
Rh 0.250 0.263 0.476  0.07
Rh 0.750 0.737 0.524  0.07
Rh 0.250 0.858 0.276  0.03
Rh 0.750 0.142 0.724  0.03
Rh 0.250 0.070 0.866  -0.02
Rh 0.750 0.930 0.134  -0.02

---

Question: Number 3 is which compound?
Answer: MnV3Rh6